Record 1
Computed, not measured: a relaxed MgZn6Ag12 crystal at the PBE level of DFT.

abc: 11.2047 11.2047 9.3679
angles: 90.00 90.00 120.00
Space group R-3m (No. 166, hexagonal axes)
One atom of each set of equivalent atoms:
Mg 0.0000 0.0000 0.0000 (multiplicity 3)
Zn 0.0833 0.1666 0.7435 (multiplicity 18)
Ag 0.0000 0.2605 0.0000 (multiplicity 18)
Ag 0.0722 0.5361 0.1196 (multiplicity 18)

ρ: 8.37 Mg/m³
calculated formation energy: 44 meV per atom
ΔE to the lowest computed polymorph: 91.2 meV per atom

---

Record 2
Computed, not measured: a relaxed Mg2ZnAg crystal at the PBE level of DFT.

abc: 3.1135 3.1135 27.2147
angles: 90.00 90.00 120.00
Space group R-3m (No. 166, hexagonal axes)
One atom of each set of equivalent atoms:
Mg 0.0000 0.0000 0.2486 (multiplicity 6)
Zn 0.0000 0.0000 0.5000 (multiplicity 3)
Ag 0.0000 0.0000 0.0000 (multiplicity 3)

ρ: 4.84 Mg/m³
calculated formation energy: -30 meV per atom

---

Record 3
Computed, not measured: a relaxed Mg3ZnAg crystal at the PBE level of DFT.

abc: 4.557 8.056 5.498
angles: 90.00 90.00 90.00
Space group Pmmn (No. 59, origin choice 2)
One atom of each set of equivalent atoms:
Mg 0.250 0.058 0.249 (multiplicity 4)
Mg 0.250 0.250 0.753 (multiplicity 2)
Zn 0.250 0.750 0.983 (multiplicity 2)
Ag 0.250 0.750 0.513 (multiplicity 2)

ρ: 4.05 Mg/m³
calculated formation energy: -102 meV per atom
ΔE to the lowest computed polymorph: 18.1 meV per atom

---

Record 4
Computed, not measured: a relaxed Mg4ZnAg2 crystal at the PBE level of DFT.

abc: 4.6566 4.6566 22.4732
angles: 90.00 90.00 120.00
Space group R-3m (No. 166, hexagonal axes)
One atom of each set of equivalent atoms:
Mg 0.0000 0.0000 0.1193 (multiplicity 6)
Mg 0.0000 0.0000 0.3710 (multiplicity 6)
Zn 0.0000 0.0000 0.5000 (multiplicity 3)
Ag 0.0000 0.0000 0.2466 (multiplicity 6)

ρ: 4.47 Mg/m³
calculated formation energy: -124 meV per atom
ΔE to the lowest computed polymorph: 0.0 meV per atom

---

Record 5
Computed, not measured: a relaxed MgZnAg2 crystal at the PBE level of DFT.

abc: 2.969 4.164 5.654
angles: 90.00 90.00 90.00
Space group Pmm2 (No. 25)
One atom of each set of equivalent atoms:
Mg 0.000 0.000 0.000 (multiplicity 1)
Zn 0.500 0.500 0.270 (multiplicity 1)
Ag 0.000 0.000 0.492 (multiplicity 1)
Ag 0.500 0.500 0.765 (multiplicity 1)

ρ: 7.25 Mg/m³
calculated formation energy: -101 meV per atom

---

Record 6
Computed, not measured: a relaxed MgZn3Ag7 crystal at the PBE level of DFT.

abc: 9.616 9.675 4.991
angles: 90.00 119.61 90.00
Space group C2/m (No. 12)
One atom of each set of equivalent atoms:
Mg 0.000 0.000 0.000 (multiplicity 2)
Zn 0.000 0.269 0.500 (multiplicity 4)
Zn 0.000 0.500 0.000 (multiplicity 2)
Ag 0.000 0.000 0.500 (multiplicity 2)
Ag 0.176 0.275 0.178 (multiplicity 8)
Ag 0.177 0.500 0.647 (multiplicity 4)

ρ: 8.03 Mg/m³
calculated formation energy: 86 meV per atom